The following is a PBE+U calculation of a relaxed structure of LiCoPO4, from Alexandria via LeMat-Bulk.

## Properties
E: -6.643 eV/atom
symmetry: Pna2_1 (33)
D(E_F): 0.000 states/eV per atom

a = 10.193 Å, b = 5.047 Å, c = 6.797 Å
α = 90.00°, β = 90.00°, γ = 90.00°
Positions (direct):
Li (0.154, 0.192, 0.000)
Li (0.346, 0.692, 0.500)
Li (0.654, 0.308, 0.000)
Li (0.846, 0.808, 0.500)
Co (0.155, 0.191, 0.498)
Co (0.345, 0.691, 0.998)
Co (0.655, 0.309, 0.498)
Co (0.845, 0.809, 0.998)
P (0.096, 0.689, 0.750)
P (0.404, 0.189, 0.250)
P (0.596, 0.811, 0.750)
P (0.904, 0.311, 0.250)
O (0.053, 0.243, 0.252)
O (0.118, 0.384, 0.748)
O (0.160, 0.806, 0.562)
O (0.161, 0.806, 0.938)
O (0.339, 0.306, 0.438)
O (0.340, 0.306, 0.062)
O (0.382, 0.884, 0.248)
O (0.447, 0.743, 0.752)
O (0.553, 0.257, 0.252)
O (0.618, 0.116, 0.748)
O (0.660, 0.694, 0.562)
O (0.661, 0.694, 0.938)
O (0.839, 0.194, 0.438)
O (0.840, 0.194, 0.062)
O (0.882, 0.616, 0.248)
O (0.947, 0.757, 0.752)